## w
Here is a relaxed structure of Pm2GePd from Alexandria via LeMat-Bulk. Energies are from PBE.

Computed properties:
For the total magnetization, the calculation gives 0.0 Bohr magnetons per cell.

The structure in CIF format:
```
data_Pm2GePd
_cell_length_a 3.5734
_cell_length_b 3.5734
_cell_length_c 7.4770
_cell_angle_alpha 90.00
_cell_angle_beta 90.00
_cell_angle_gamma 90.00
_symmetry_space_group_name_H-M 'P 4/m m m'
_symmetry_Int_Tables_number 123
_symmetry_space_group_name_Hall '-P 4 2'
loop_
_atom_site_label
_atom_site_type_symbol
_atom_site_fract_x
_atom_site_fract_y
_atom_site_fract_z
Pm1 Pm 0.0000 0.0000 0.2457
Ge1 Ge 0.5000 0.5000 0.5000
Pd1 Pd 0.5000 0.5000 0.0000
```

***

## x
Here is a relaxed structure of Pm2GePd from Alexandria via LeMat-Bulk. Energies are from PBE.

Computed properties:
For the total magnetization, the calculation gives 0.0 Bohr magnetons per cell.

The structure in CIF format:
```
data_Pm2GePd
_cell_length_a 5.9888
_cell_length_b 4.3992
_cell_length_c 8.0899
_cell_angle_alpha 90.00
_cell_angle_beta 110.36
_cell_angle_gamma 90.00
_symmetry_space_group_name_H-M 'P 1 21/m 1'
_symmetry_Int_Tables_number 11
loop_
_symmetry_equiv_pos_as_xyz
'x,y,z'
'-x,-y,-z'
'-x,y+1/2,-z'
'x,-y+1/2,z'
loop_
_atom_site_label
_atom_site_type_symbol
_atom_site_fract_x
_atom_site_fract_y
_atom_site_fract_z
Pm1 Pm 0.2233 0.2500 0.4173
Pm2 Pm 0.2240 0.2500 0.9391
Ge1 Ge 0.3268 0.7500 0.7048
Pd1 Pd 0.3574 0.7500 0.2116
```

***

Tell me which of them is the most stable. Sure, it is x.